Density functional theory data (PBE-GGA) for crystalline Sm2SiNi4Ge3 at its relaxed geometry.

Summary:
Formation energy (no corrections) (eV per atom): -0.728
Space group: No. 115
Volume (Å³/atom): 16.2

Cell: 4.1007 4.1007 9.6597 Å, 90.00 90.00 90.00°
Closest atoms and distances in Å follow each position.
Element x y z (fractional)
Sm (0.5000, 0.0000, 0.2513)  6 Ge 3.13-3.16, 8 Ni 3.15-3.18, 2 Si 3.16
Sm (0.0000, 0.5000, 0.7487)  6 Ge 3.13-3.16, 8 Ni 3.15-3.18, 2 Si 3.16
Si (0.5000, 0.5000, 0.5000)  4 Ni 2.36
Ni (0.5000, 0.5000, 0.0000)  4 Ge 2.41
Ni (0.0000, 0.0000, 0.0000)  4 Ge 2.41
Ni (0.5000, 0.0000, 0.6211)  3 Ge 2.36-2.40, 2 Si 2.36
Ni (0.0000, 0.5000, 0.3789)  2 Si 2.36, 3 Ge 2.36-2.40
Ge (0.0000, 0.0000, 0.5000)  4 Ni 2.36
Ge (0.5000, 0.0000, 0.8696)  5 Ni 2.40-2.41
Ge (0.0000, 0.5000, 0.1304)  5 Ni 2.40-2.41

Density functional theory data (PBE-GGA) for crystalline Ho4AlZn2Pd at its relaxed geometry.

Summary:
Space group: No. 166
Volume (Å³/atom): 22.3
E_form (eV/atom): -0.51

Cell: 5.0122 5.0122 8.6875 Å, 73.23 73.23 60.00°
Closest atoms and distances in Å follow each position.
Element x y z (fractional)
Ho (0.3781, 0.3781, 0.8656)  1 Pd 2.99, 4 Zn 3.01-3.03, 3 Al 3.10
Ho (0.8726, 0.8726, 0.3823)  3 Pd 3.05, 4 Zn 3.13, 1 Al 3.13
Ho (0.1274, 0.1274, 0.6177)  3 Pd 3.05, 4 Zn 3.13, 1 Al 3.13
Ho (0.6219, 0.6219, 0.1344)  1 Pd 2.99, 4 Zn 3.01-3.03, 3 Al 3.10
Al (0.0000, 0.0000, 0.0000)  8 Ho 3.10-3.13
Zn (0.7451, 0.7451, 0.7646)  8 Ho 3.01-3.13
Zn (0.2549, 0.2549, 0.2354)  8 Ho 3.01-3.13
Pd (0.5000, 0.5000, 0.5000)  8 Ho 2.99-3.05

Density functional theory data (PBE-GGA) for crystalline UPa2N at its relaxed geometry.

Summary:
Formation energy (no corrections) (eV per atom): -0.173
Space group: No. 123
Volume (Å³/atom): 18.2

Cell: 2.9335 2.9335 8.4655 Å, 90.00 90.00 90.00°
Closest atoms and distances in Å follow each position.
Element x y z (fractional)
Pa (0.0000, 0.0000, 0.6807)  4 N 2.58
Pa (0.0000, 0.0000, 0.3193)  4 N 2.58
U (0.5000, 0.5000, 0.0000)  4 U 2.93
N (0.5000, 0.5000, 0.5000)  8 Pa 2.58